First-principles (GGA-PBE) data for an optimized crystal structure of Tm8ZnGe3Te4, as listed in Alexandria via LeMat-Bulk. Values from VASP.

* magnetic moment: 0.0 μB per formula unit
* E: -4.98 eV per atom
* crystal system: trigonal
* raw formation energy: -1.009 eV per atom
* N(E_F): 6.6 states/eV/f.u.

The structure in Quantum ESPRESSO input format:
```
&SYSTEM
  ibrav = 0, nat = 16, ntyp = 4
/
ATOMIC_SPECIES
Tm 168.93 Tm.upf
Zn 65.41 Zn.upf
Ge 72.64 Ge.upf
Te 127.60 Te.upf
CELL_PARAMETERS angstrom
4.172 2.409 7.037
-4.172 2.409 7.037
0.000 -4.818 7.037
ATOMIC_POSITIONS angstrom
Tm -2.125 -1.227 12.133
Tm 0.000 0.000 5.036
Tm 0.000 -2.454 8.979
Tm -2.125 1.227 8.979
Tm 2.125 -1.227 12.133
Tm 0.000 2.454 12.133
Tm 0.000 0.000 16.076
Tm 2.125 1.227 8.979
Zn 0.000 0.000 10.556
Ge -4.172 0.000 10.556
Ge -2.086 1.204 3.519
Ge 2.086 1.204 3.519
Te 0.000 0.000 0.000
Te -2.086 -1.204 7.037
Te -2.086 1.204 14.075
Te 0.000 2.409 7.037
```